1.
The following is a GGA-PBE calculation of an optimized crystal structure of HfCd2FeRh, from Alexandria via LeMat-Bulk.

Electronic total energy ... -4.535 eV per atom
Total magnetic moment ... 0.0 μB per formula unit
Density of states at the Fermi level ... 6.2 states/eV per cell
Theoretical density ... 8562 kg/m3
ΔE_f ... 475 kJ/mol of formula units

Geometry as CIF:
```
data_HfCd2FeRh
_chemical_formula_sum 'Hf1 Cd2 Fe1 Rh1'
_space_group_name_H-M_alt 'P 4/m m m'
_space_group_IT_number 123
_space_group_name_Hall '-P 4 2'
_cell_length_a 5.001
_cell_length_b 5.001
_cell_length_c 4.358
_cell_angle_alpha 90.00
_cell_angle_beta 90.00
_cell_angle_gamma 90.00
loop_
_atom_site_label
_atom_site_type_symbol
_atom_site_fract_x
_atom_site_fract_y
_atom_site_fract_z
_atom_site_occupancy
Hf1 Hf 0.000 0.000 0.000 1
Cd1 Cd 0.000 0.500 0.500 1
Fe1 Fe 0.500 0.500 0.000 1
Rh1 Rh 0.500 0.500 0.500 1
```

=====

2.
The following is a GGA-PBE calculation of an optimized crystal structure of Ba3Tl4Au4, from Alexandria via LeMat-Bulk.

Electronic total energy ... -3.060 eV per atom
Total magnetic moment ... 0.0 μB per formula unit
Density of states at the Fermi level ... 9.9 states/eV per cell
Theoretical density ... 10119 kg/m3
ΔE_f ... -513 kJ/mol of formula units

Geometry as CIF:
```
data_Ba3Tl4Au4
_chemical_formula_sum 'Ba6 Tl8 Au8'
_space_group_name_H-M_alt 'I m m m'
_space_group_IT_number 71
_space_group_name_Hall '-I 2 2'
_cell_length_a 4.807
_cell_length_b 8.346
_cell_length_c 16.505
_cell_angle_alpha 90.00
_cell_angle_beta 90.00
_cell_angle_gamma 90.00
loop_
_atom_site_label
_atom_site_type_symbol
_atom_site_fract_x
_atom_site_fract_y
_atom_site_fract_z
_atom_site_occupancy
Ba1 Ba 0.000 0.000 0.000 1
Ba2 Ba 0.000 0.500 0.127 1
Tl1 Tl 0.000 0.304 0.329 1
Au1 Au 0.000 0.000 0.215 1
Au2 Au 0.000 0.180 0.500 1
```